SmTmOs (PBE, optimized geometry); symmetry = No. 216; crystal system = cubic; offset from the most stable computed form = 0.0247 eV per atom; ΔH_f (0 K) = -0.1742 eV per atom
1.0
4.796 0.000 0.000
2.398 4.153 0.000
2.398 1.384 3.916
Sm Tm Os
1 1 1
Cartesian
4.796 2.769 1.958 Sm
0.000 0.000 0.000 Tm
2.398 1.384 0.979 Os

***

NaZr2Pb2 (PBE, optimized geometry); symmetry = No. 127; crystal system = tetragonal; offset from the most stable computed form = 0.0000 eV per atom; ΔH_f (0 K) = -0.0452 eV per atom
1.0
8.915 0.000 0.000
0.000 8.915 0.000
0.000 0.000 3.310
Pb Zr Na
4 4 2
Cartesian
2.939 7.397 0.000 Pb
5.975 1.518 0.000 Pb
7.397 5.975 0.000 Pb
1.518 2.939 0.000 Pb
7.808 3.351 1.655 Zr
1.107 5.564 1.655 Zr
3.351 1.107 1.655 Zr
5.564 7.808 1.655 Zr
4.457 4.457 0.000 Na
0.000 0.000 0.000 Na

***

TeAs (PBE, optimized geometry); symmetry = No. 2; crystal system = triclinic; formation energy from raw total energies = 70 meV/atom
1.0
4.730 0.002 -0.003
0.813 4.719 0.000
1.099 -0.079 6.054
As Te
2 2
Cartesian
2.951 3.812 3.487 As
3.691 0.830 2.565 As
5.274 0.853 4.722 Te
1.367 3.789 1.329 Te

***

Tb3Nd2Tm (PBE, optimized geometry); symmetry = No. 12; crystal system = monoclinic; offset from the most stable computed form = 0.0000 eV per atom; ΔH_f (0 K) = 0.1144 eV per atom
1.0
5.638 0.000 1.161
2.386 8.062 2.683
1.048 1.020 9.181
Tb Nd Tm
6 4 2
Cartesian
2.546 3.001 1.906 Tb
3.628 7.749 10.921 Tb
6.526 6.081 11.119 Tb
1.877 1.405 5.153 Tb
5.444 1.333 2.104 Tb
7.194 7.677 7.873 Tb
4.196 1.775 8.165 Nd
4.876 7.307 4.860 Nd
7.066 4.093 8.497 Nd
2.006 4.989 4.528 Nd
4.214 5.862 8.076 Tm
4.858 3.220 4.949 Tm

***

Theoretical density (computed, Mg/m³): 10.85, 7.83, 4.98, 7.86
DFT total energy (computed, eV/cell): -20.94, -52.12, -15.30, -54.42